Material: AcMn2AlO8
Method: DFT, PBE+U
State: relaxed

Properties
VASP energy in eV per atom: -7.0588
Space-group type: P-3, No. 147
Size of the total moment in μB per formula unit: 4.00

abc: 5.167 5.167 6.966
angles: 90.00 90.00 120.00
Each line ends with the local moment (μB).
Sites, in units of the cell vectors:
O: 0.692 0.751 0.674  -0.03
O: 0.751 0.059 0.326  -0.03
O: 0.333 0.667 0.973  -0.02
O: 0.308 0.249 0.326  -0.03
O: 0.249 0.941 0.674  -0.03
O: 0.667 0.333 0.027  -0.02
O: 0.059 0.308 0.674  -0.03
O: 0.941 0.692 0.326  -0.03
Ac: 0.000 0.000 0.000  0.02
Mn: 0.333 0.667 0.729  2.05
Mn: 0.667 0.333 0.271  2.05
Al: 0.000 0.000 0.500  0.01